Material: SiHg2Sb
Method: DFT, meta-GGA SCAN
State: PBEsol geometry

Results
* total magnetization: 0.00 Bohr magnetons per cell
* calculated density: 10.38 g/cm3
* energy relative to the elements, uncorrected: 0.486 eV/atom
* polymorph energy (0 for the lowest one): 0.295 eV per atom
* final energy: -45.416 eV per atom

```
data_SiHg2Sb
_cell_length_a 3.229
_cell_length_b 5.123
_cell_length_c 5.331
_cell_angle_alpha 90.00
_cell_angle_beta 90.00
_cell_angle_gamma 90.00
_space_group_name_H-M_alt 'P m m m'
_space_group_IT_number 47
loop_
_space_group_symop_operation_xyz
'x,y,z'
'-x,-y,-z'
'-x,-y,z'
'x,y,-z'
'x,-y,-z'
'-x,y,z'
'-x,y,-z'
'x,-y,z'
loop_
_atom_site_label
_atom_site_fract_x
_atom_site_fract_y
_atom_site_fract_z
Si1 0.000 0.000 0.000
Hg1 0.000 0.500 0.500
Hg2 0.500 0.000 0.500
Sb1 0.500 0.500 0.000
```

Material: MoW5
Method: DFT, meta-GGA SCAN
State: PBEsol geometry

Results
* total magnetization: 0.00 Bohr magnetons per cell
* formation energy from the elements: -0.001 eV/atom
* calculated density: 17.99 g/cm3
* final energy: -63.889 eV per atom

```
data_MoW5
_cell_length_a 9.944
_cell_length_b 3.152
_cell_length_c 6.305
_cell_angle_alpha 90.00
_cell_angle_beta 108.54
_cell_angle_gamma 90.00
_space_group_name_H-M_alt 'C 1 2/m 1'
_space_group_IT_number 12
loop_
_space_group_symop_operation_xyz
'x,y,z'
'-x,-y,-z'
'-x,y,-z'
'x,-y,z'
'x+1/2,y+1/2,z'
'-x+1/2,-y+1/2,-z'
'-x+1/2,y+1/2,-z'
'x+1/2,-y+1/2,z'
loop_
_atom_site_label
_atom_site_fract_x
_atom_site_fract_y
_atom_site_fract_z
Mo1 0.000 0.000 0.000
W1 0.000 0.000 0.500
W2 0.166 0.500 0.834
W3 0.167 0.500 0.333
```